LaNdTmCd: relaxed, GGA-PBE.

Geometry as POSCAR:
```
LaNdTmCd
1.0
5.5858 0.0000 0.0000
2.7929 4.8375 0.0000
2.7929 1.6125 4.5608
Nd Cd Tm La
1 1 1 1
direct
0.5000 0.5000 0.5000 Nd
0.7500 0.7500 0.7500 Cd
0.2500 0.2500 0.2500 Tm
0.0000 0.0000 0.0000 La
```

Output
The calculated volume is 30.81 A^3/atom. For the electronic total energy, the calculation gives -15.3 eV/f.u. As for the density of states at the Fermi level: 5.2 states/eV/cell. The total moment comes out at 0.00 μB per formula unit.